[1]
## Sm4Zn2In5 (GGA-PBE)

Data for a relaxed Sm4Zn2In5 crystal.

Structure (POSCAR):
```
Sm4Zn2In5
1.0
7.8144 0.0000 0.0000
0.0000 3.6648 0.0000
-0.7112 0.0000 9.9368
Sm Zn In
4 2 5
Cartesian
1.1046 0.0000 3.7220
1.3501 0.0000 9.3381
5.7531 0.0000 0.5987
5.9986 0.0000 6.2148
0.3782 1.8324 1.2708
6.7250 1.8324 8.6660
0.9318 1.8324 6.5861
3.2901 1.8324 1.9074
3.5516 1.8324 4.9684
3.8132 1.8324 8.0294
6.1714 1.8324 3.3507
```

Calculated values
As for the density of states at the Fermi level: 9.67 states/eV/cell. The calculation puts the formation energy at -0.4017 eV/atom. The magnetic moment is 0.0 μB/cell. As for the total energy: -3.594 eV/atom.


[2]
## La4Ce3NdAs8 (GGA-PBE)

Data for a relaxed La4Ce3NdAs8 crystal.

Structure (POSCAR):
```
La4Ce3NdAs8
1.0
4.3019 2.4837 7.0379
-4.3019 2.4837 7.0379
0.0000 -4.9674 7.0379
La Ce Nd As
4 3 1 8
Cartesian
0.0000 0.0000 0.0000
-2.1510 -1.2419 7.0379
-2.1510 1.2419 14.0759
0.0000 2.4837 7.0379
-4.3019 0.0000 10.5569
-2.1510 1.2419 3.5190
2.1510 1.2419 3.5190
0.0000 0.0000 10.5569
-2.1702 -1.2530 12.2541
0.0000 0.0000 5.2054
0.0000 -2.5059 8.8597
-2.1702 1.2530 8.8597
2.1702 -1.2530 12.2541
0.0000 2.5059 12.2541
0.0000 0.0000 15.9085
2.1702 1.2529 8.8597
```

Calculated values
As for the density of states at the Fermi level: 17.38 states/eV/cell. The calculation puts the formation energy at -1.5115 eV/atom. The magnetic moment is 1.9 μB/cell. As for the total energy: -6.479 eV/atom.


[3]
## Nb2Ru3Rh3 (GGA-PBE)

Data for a relaxed Nb2Ru3Rh3 crystal.

Structure (POSCAR):
```
Nb2Ru3Rh3
1.0
3.8978 0.0000 0.0000
0.0000 3.9093 0.0000
0.0000 0.0000 7.8131
Nb Ru Rh
2 3 3
Cartesian
0.0000 0.0000 1.9450
0.0000 0.0000 5.8681
0.0000 1.9547 0.0000
1.9489 0.0000 0.0000
1.9489 0.0000 3.9066
0.0000 1.9547 3.9066
1.9489 1.9547 1.9581
1.9489 1.9547 5.8550
```

Calculated values
As for the density of states at the Fermi level: 8.80 states/eV/cell. The calculation puts the formation energy at -0.3286 eV/atom. The magnetic moment is 0.0 μB/cell. As for the total energy: -9.081 eV/atom.


[4]
## GdErTmCd (GGA-PBE)

Data for a relaxed GdErTmCd crystal.

Structure (POSCAR):
```
GdErTmCd
1.0
0.0000 3.8311 3.8311
3.8311 0.0000 3.8311
3.8311 3.8311 0.0000
Gd Er Tm Cd
1 1 1 1
Cartesian
0.0000 0.0000 0.0000
3.8311 3.8311 3.8311
1.9155 1.9155 1.9155
5.7466 5.7466 5.7466
```

Calculated values
As for the density of states at the Fermi level: 4.79 states/eV/cell. The calculation puts the formation energy at -0.0349 eV/atom. The magnetic moment is 7.7 μB/cell. As for the total energy: -6.042 eV/atom.